(1)
Crystalline RbFeAuI5 at its relaxed geometry, computed with GGA-PBE.

Geometry as extended XYZ:
```
16
Lattice="-0.6855 9.1997 -6.8664 2.9173 -10.2477 -4.3275 -7.3847 -0.9537 3.1740" Properties=species:S:1:pos:R:3 pbc="T T T"
I -0.1508 3.7588 -6.9350
I 0.7728 -8.8760 -3.7442
I -6.9453 0.2829 -0.4325
I -5.0021 -5.7604 -1.0850
I -2.9633 3.6422 -3.8372
Au 0.0000 0.0000 0.0000
Fe -1.2979 2.3015 -5.2035
Au -3.6924 -0.4768 1.5870
Rb -0.4311 -2.3772 -4.5926
Rb -4.7218 0.3755 -3.4273
I -2.6799 -2.3334 -1.6157
I -2.4730 0.3318 -6.4042
I -2.1896 -5.6438 -4.1827
I 1.7924 -2.2845 -7.5874
Fe -3.8550 -4.3031 -2.8165
I -5.9257 6.8744 -4.2757
```

Size of the total moment = 9.96 Bohr magnetons per cell
E_tot = -24.321 eV/f.u.
Space-group type = No. 15

---

(2)
Crystalline FeRhAuI2 at its relaxed geometry, computed with GGA-PBE.

Geometry as extended XYZ:
```
5
Lattice="5.2487 0.0000 0.0000 0.0000 5.1745 0.0000 0.0000 0.0000 5.2487" Properties=species:S:1:pos:R:3 pbc="T T T"
Fe 2.6243 2.5872 2.6243
Rh 0.0000 0.0000 0.0000
Au 0.0000 2.5872 0.0000
I 2.6243 0.0000 0.0000
I 0.0000 0.0000 2.6243
```

Size of the total moment = 3.57 Bohr magnetons per cell
E_tot = -17.684 eV/f.u.
Space-group type = No. 123
D(E_F) = 1.364 states/eV/atom

---

(3)
Crystalline FeTeAuI2 at its relaxed geometry, computed with GGA-PBE.

Geometry as extended XYZ:
```
5
Lattice="5.4652 0.0000 0.0000 0.0000 5.4652 0.0000 0.0000 0.0000 4.7309" Properties=species:S:1:pos:R:3 pbc="T T T"
Te 0.0000 0.0000 2.3655
Au 2.7326 2.7326 2.3655
I 2.7326 0.0000 0.0000
Fe 0.0000 0.0000 0.0000
I 0.0000 2.7326 0.0000
```

Size of the total moment = 0.00 Bohr magnetons per cell
Energy above the lowest structure with this stoichiometry = 0.00 eV per formula unit
E_tot = -14.841 eV/f.u.
Space-group type = No. 123
D(E_F) = 1.030 states/eV/atom

---

(4)
Crystalline ZrFeAuI2 at its relaxed geometry, computed with GGA-PBE.

Geometry as extended XYZ:
```
5
Lattice="-4.0695 1.2045 2.7769 -0.4893 -4.6383 1.2949 2.9831 0.8079 4.0213" Properties=species:S:1:pos:R:3 pbc="T T T"
Au -0.7878 -1.3129 4.0465
I 1.4916 0.4040 2.0106
Fe 0.0000 0.0000 0.0000
Zr -0.2446 -2.3191 0.6474
I -2.0347 0.6022 1.3884
```

Size of the total moment = 0.00 Bohr magnetons per cell
E_tot = -20.485 eV/f.u.
Space-group type = No. 123
D(E_F) = 0.986 states/eV/atom

---

(5)
Crystalline InFeAu2 at its relaxed geometry, computed with GGA-PBE.

Geometry as extended XYZ:
```
8
Lattice="3.9379 0.0000 0.0000 0.0000 3.9379 0.0000 1.9690 1.9690 9.8725" Properties=species:S:1:pos:R:3 pbc="T T T"
Au 2.9278 0.9845 2.4681
In 3.9379 1.9690 4.9362
Au 1.0101 2.9535 2.4681
Au 4.9224 4.8968 7.4044
Fe 1.9690 1.9690 0.0000
Au 2.9535 2.9791 7.4044
In 0.0000 0.0000 0.0000
Fe 1.9690 3.9379 4.9362
```

DFT formation energy = 0.27 eV per atom
Size of the total moment = 5.38 Bohr magnetons per cell
E_tot = -16.684 eV/f.u.
Space-group type = No. 122
D(E_F) = 0.665 states/eV/atom

---

(6)
Crystalline InFeAu2 at its relaxed geometry, computed with GGA-PBE.

Geometry as extended XYZ:
```
4
Lattice="2.9805 0.0000 0.0000 0.0000 3.8401 0.0000 0.0000 0.0000 6.1799" Properties=species:S:1:pos:R:3 pbc="T T T"
Au 1.4903 1.9201 1.7010
Fe 0.0000 0.0000 2.9752
In 1.4903 1.9201 4.5680
Au 0.0000 0.0000 0.0256
```

DFT formation energy = 0.11 eV per atom
Size of the total moment = 2.81 Bohr magnetons per cell
E_tot = -17.303 eV/f.u.
Space-group type = No. 25
D(E_F) = 0.678 states/eV/atom